This record from Alexandria via LeMat-Bulk describes crystalline CeSmTh2Sb4 at its relaxed geometry. The functional is PBE-GGA.

Cell lengths 7.778, 4.499, 7.800 Å; angles 90.00, 109.50, 90.00 degrees
Space group P2/m (No. 10)
Inequivalent atoms, fractional coordinates:
Ce1 0.000 0.000 0.000 [1 per cell]
Sm1 0.000 0.500 0.500 [1 per cell]
Th1 0.500 0.000 0.500 [1 per cell]
Th2 0.500 0.500 0.000 [1 per cell]
Sb1 0.248 0.000 0.749 [2 per cell]
Sb2 0.248 0.500 0.250 [2 per cell]

DFT total energy   -6.27 eV per atom
Formation energy without anion corrections   -1023 meV per atom
Size of the total moment   0.99 μB/cell

=====

This record from Alexandria via LeMat-Bulk describes crystalline CeSm2ThSb5 at its relaxed geometry. The functional is PBE-GGA.

Cell lengths 5.588, 5.588, 11.775 Å; angles 90.00, 90.00, 90.00 degrees
Space group P4/mmm (No. 123)
Inequivalent atoms, fractional coordinates:
Ce1 0.000 0.000 0.000 [1 per cell]
Sm1 0.500 0.500 0.278 [2 per cell]
Th1 0.000 0.000 0.500 [1 per cell]
Sb1 0.000 0.000 0.244 [2 per cell]
Sb2 0.000 0.500 0.500 [2 per cell]
Sb3 0.500 0.500 0.000 [1 per cell]

DFT total energy   -4.90 eV per atom
Formation energy without anion corrections   -81 meV per atom
Size of the total moment   0.60 μB/cell

=====

This record from Alexandria via LeMat-Bulk describes crystalline CeSm2TmSb4 at its relaxed geometry. The functional is PBE-GGA.

Cell lengths 7.687, 4.446, 7.704 Å; angles 90.00, 109.44, 90.00 degrees
Space group P2/m (No. 10)
Inequivalent atoms, fractional coordinates:
Ce1 0.000 0.000 0.000 [1 per cell]
Sm1 0.000 0.500 0.500 [1 per cell]
Sm2 0.500 0.000 0.500 [1 per cell]
Tm1 0.500 0.500 0.000 [1 per cell]
Sb1 0.253 0.500 0.247 [2 per cell]
Sb2 0.256 0.000 0.756 [2 per cell]

DFT total energy   -5.66 eV per atom
Formation energy without anion corrections   -1113 meV per atom
Size of the total moment   0.68 μB/cell

=====

This record from Alexandria via LeMat-Bulk describes crystalline Ce3Sm2TmSb6 at its relaxed geometry. The functional is PBE-GGA.

Cell lengths 7.733, 13.395, 7.730 Å; angles 90.00, 109.50, 90.00 degrees
Space group C2/m (No. 12)
Inequivalent atoms, fractional coordinates:
Ce1 0.000 0.000 0.000 [2 per cell]
Ce2 0.000 0.331 0.000 [4 per cell]
Sm1 0.000 0.166 0.500 [4 per cell]
Tm1 0.000 0.500 0.500 [2 per cell]
Sb1 0.245 0.500 0.252 [4 per cell]
Sb2 0.246 0.336 0.746 [8 per cell]

DFT total energy   -5.80 eV per atom
Formation energy without anion corrections   -1092 meV per atom
Size of the total moment   4.75 μB/cell

=====

This record from Alexandria via LeMat-Bulk describes crystalline Ce2Sm3TmSb6 at its relaxed geometry. The functional is PBE-GGA.

Cell lengths 19.427, 4.462, 8.918 Å; angles 90.00, 103.34, 90.00 degrees
Space group C2/m (No. 12)
Inequivalent atoms, fractional coordinates:
Ce1 0.165 0.000 0.332 [4 per cell]
Sm1 0.000 0.500 0.500 [2 per cell]
Sm2 0.167 0.000 0.834 [4 per cell]
Tm1 0.000 0.500 0.000 [2 per cell]
Sb1 0.001 0.000 0.756 [4 per cell]
Sb2 0.164 0.500 0.082 [4 per cell]
Sb3 0.167 0.500 0.583 [4 per cell]

DFT total energy   -5.72 eV per atom
Formation energy without anion corrections   -1114 meV per atom
Size of the total moment   2.88 μB/cell

=====

This record from Alexandria via LeMat-Bulk describes crystalline CeSm2Y3Sb6 at its relaxed geometry. The functional is PBE-GGA.

Cell lengths 7.687, 13.314, 7.680 Å; angles 90.00, 109.49, 90.00 degrees
Space group C2/m (No. 12)
Inequivalent atoms, fractional coordinates:
Ce1 0.000 0.000 0.000 [2 per cell]
Sm1 0.000 0.333 0.000 [4 per cell]
Y1 0.000 0.167 0.500 [4 per cell]
Y2 0.000 0.500 0.500 [2 per cell]
Sb1 0.248 0.000 0.745 [4 per cell]
Sb2 0.249 0.334 0.745 [8 per cell]

DFT total energy   -6.11 eV per atom
Formation energy without anion corrections   -1153 meV per atom
Size of the total moment   1.33 μB/cell